# 1
TlOs2C | PBE-GGA | optimized geometry

Its formation energy is 2219.2 meV per atom. As for the density of states at the Fermi level: 17.58 states/eV per cell. The distance to the lowest polymorph of the same formula comes out at 1008.9 meV/atom.

It has space group Fm-3m (No. 225), with a = 6.1728 Å, b = 6.1728 Å, c = 6.1728 Å, α = 90.00°, β = 90.00° and γ = 90.00°. The inequivalent atoms are Tl at (0.0000, 0.0000, 0.0000), Os at (0.2500, 0.2500, 0.2500) and C at (0.0000, 0.0000, 0.5000).

=====

# 2
ScNi3H | PBE-GGA | optimized geometry

As for the density of states at the Fermi level: 5.28 states/eV per cell. The distance to the lowest polymorph of the same formula comes out at 26.5 meV/atom.

It has space group P2_1/m (No. 11), with a = 4.8349 Å, b = 4.2681 Å, c = 5.2486 Å, α = 90.00°, β = 90.06° and γ = 90.00°. The inequivalent atoms are Sc at (0.1461, 0.2500, 0.2497), Ni at (0.2210, 0.2500, 0.7498), Ni at (0.3542, 0.7500, 0.5137), Ni at (0.3546, 0.7500, 0.9858) and H at (0.1321, 0.7500, 0.2491).

=====

# 3
CuPt3 | PBE-GGA | optimized geometry

Its formation energy is 1314.6 meV per atom. As for the density of states at the Fermi level: 13.79 states/eV per cell.

It has space group Cmmm (No. 65), with a = 5.1192 Å, b = 8.1417 Å, c = 4.6420 Å, α = 90.00°, β = 90.00° and γ = 90.00°. The inequivalent atoms are Cu at (0.0000, 0.0000, 0.0000), Pt at (0.0000, 0.0000, 0.5000) and Pt at (0.2500, 0.2500, 0.0000).